The following is a PBE calculation of crystalline Sr2Zn4CuSi3 at its relaxed geometry, from the Alexandria database.

Output
E_form (uncorrected) in meV per atom: -270.2
VASP energy in eV per atom: -3.15
Magnetization in Bohr magnetons per cell: 0.00
DOS at the Fermi energy in states/eV per cell: 3.4

Unit cell a=4.222 b=4.222 c=10.751 alpha=90.00 beta=90.00 gamma=90.00
Sites, in units of the cell vectors:
Sr (0.500, 0.000, 0.249)
Sr (0.000, 0.500, 0.751)
Zn (0.500, 0.500, 0.000)
Zn (0.000, 0.000, 0.000)
Zn (0.500, 0.000, 0.631)
Zn (0.000, 0.500, 0.369)
Cu (0.500, 0.500, 0.500)
Si (0.000, 0.000, 0.500)
Si (0.500, 0.000, 0.864)
Si (0.000, 0.500, 0.136)



The following is a PBE calculation of crystalline SrZnCuSi2 at its relaxed geometry, from the Alexandria database.

Output
E_form (uncorrected) in meV per atom: 1663.2
VASP energy in eV per atom: -1.92
Magnetization in Bohr magnetons per cell: 0.00
DOS at the Fermi energy in states/eV per cell: 7.9
E above lowest polymorph in meV/atom: 2010

Unit cell a=5.696 b=5.334 c=5.696 alpha=90.00 beta=90.00 gamma=90.00
Sites, in units of the cell vectors:
Sr (0.000, 0.000, 0.000)
Zn (0.500, 0.500, 0.500)
Si (0.000, 0.000, 0.500)
Si (0.500, 0.000, 0.000)
Cu (0.000, 0.500, 0.000)



The following is a PBE calculation of crystalline TaCu2Si at its relaxed geometry, from the Alexandria database.

Output
E_form (uncorrected) in meV per atom: 94.3
VASP energy in eV per atom: -6.27
Magnetization in Bohr magnetons per cell: 0.00
DOS at the Fermi energy in states/eV per cell: 3.0

Unit cell a=4.283 b=4.283 c=4.283 alpha=119.77 beta=119.77 gamma=90.40
Sites, in units of the cell vectors:
Cu (0.000, 0.000, 0.000)
Cu (0.250, 0.750, 0.500)
Si (0.500, 0.500, 0.000)
Ta (0.750, 0.250, 0.500)



The following is a PBE calculation of crystalline TaCu2Si at its relaxed geometry, from the Alexandria database.

Output
E_form (uncorrected) in meV per atom: -92.5
VASP energy in eV per atom: -6.46
Magnetization in Bohr magnetons per cell: 0.00
DOS at the Fermi energy in states/eV per cell: 1.9

Unit cell a=3.824 b=2.775 c=5.431 alpha=75.18 beta=90.00 gamma=90.00
Sites, in units of the cell vectors:
Cu (0.000, 0.044, 0.037)
Cu (0.500, 0.445, 0.235)
Si (0.000, 0.313, 0.499)
Ta (0.500, 0.698, 0.728)



The following is a PBE calculation of crystalline TaCu2Si at its relaxed geometry, from the Alexandria database.

Output
E_form (uncorrected) in meV per atom: 179.2
VASP energy in eV per atom: -6.19
Magnetization in Bohr magnetons per cell: 0.00
DOS at the Fermi energy in states/eV per cell: 2.9

Unit cell a=3.581 b=3.581 c=9.759 alpha=79.43 beta=79.43 gamma=90.00
Sites, in units of the cell vectors:
Si (0.500, 0.500, 0.000)
Si (0.250, 0.750, 0.500)
Cu (0.613, 0.125, 0.250)
Cu (0.137, 0.625, 0.250)
Cu (0.375, 0.387, 0.750)
Cu (0.875, 0.863, 0.750)
Ta (0.000, 0.000, 0.000)
Ta (0.750, 0.250, 0.500)



The following is a PBE calculation of crystalline TaCu2Si at its relaxed geometry, from the Alexandria database.

Output
E_form (uncorrected) in meV per atom: 86.5
VASP energy in eV per atom: -6.28
Magnetization in Bohr magnetons per cell: 0.00
DOS at the Fermi energy in states/eV per cell: 2.4

Unit cell a=2.804 b=3.794 c=5.316 alpha=90.00 beta=90.00 gamma=90.00
Sites, in units of the cell vectors:
Cu (0.000, 0.000, 0.010)
Cu (0.000, 0.000, 0.490)
Si (0.500, 0.500, 0.250)
Ta (0.500, 0.500, 0.750)



> What is the magnetization in the fifth record?

0.00 Bohr magnetons per cell